P | Compound: BaCaSbTe2
Source: the Alexandria database
Functional: GGA-PBE
Structure: relaxed

Results
D(E_F): 5.05 states/eV/cell
SG: P4/mmm (123)

a = 5.902 Å, b = 5.902 Å, c = 5.724 Å
α = 90.00°, β = 90.00°, γ = 90.00°
Sites, in units of the cell vectors:
1 Te 0.500 0.000 0.000
2 Te 0.000 0.500 0.000
3 Ca 0.000 0.000 0.000
4 Ba 0.500 0.500 0.500
5 Sb 0.000 0.000 0.500

=====

Q | Compound: BaCaSbTe2
Source: the Alexandria database
Functional: GGA-PBE
Structure: relaxed

Results
D(E_F): 6.51 states/eV/cell
SG: P4/mmm (123)

a = 6.321 Å, b = 6.321 Å, c = 6.101 Å
α = 90.00°, β = 90.00°, γ = 90.00°
Sites, in units of the cell vectors:
1 Ca 0.500 0.500 0.500
2 Ba 0.000 0.000 0.000
3 Sb 0.000 0.000 0.500
4 Te 0.500 0.000 0.000
5 Te 0.000 0.500 0.000

=====

Short version: P is the most stable of them.

=====

P | Compound: Ba2CaSc2
Source: the Alexandria database
Functional: GGA-PBE
Structure: relaxed

Results
D(E_F): 6.56 states/eV/cell
SG: I4/mmm (139)

a = 4.167 Å, b = 4.167 Å, c = 13.127 Å
α = 80.87°, β = 80.87°, γ = 90.00°
Sites, in units of the cell vectors:
1 Sc 0.250 0.750 0.500
2 Sc 0.750 0.250 0.500
3 Ba 0.623 0.623 0.753
4 Ba 0.377 0.377 0.247
5 Ca 0.000 0.000 0.000

=====

Q | Compound: Ba2CaSc2
Source: the Alexandria database
Functional: GGA-PBE
Structure: relaxed

Results
D(E_F): 17.20 states/eV/cell
SG: P4/mbm (127)

a = 9.997 Å, b = 9.997 Å, c = 3.858 Å
α = 90.00°, β = 90.00°, γ = 90.00°
Sites, in units of the cell vectors:
1 Ca 0.000 0.000 0.000
2 Ca 0.500 0.500 0.000
3 Sc 0.171 0.671 0.500
4 Sc 0.329 0.171 0.500
5 Sc 0.671 0.829 0.500
6 Sc 0.829 0.329 0.500
7 Ba 0.370 0.870 0.000
8 Ba 0.130 0.370 0.000
9 Ba 0.870 0.630 0.000
10 Ba 0.630 0.130 0.000

=====

Short version: P is the most stable of them.

=====

P | Compound: BaCaSe
Source: the Alexandria database
Functional: GGA-PBE
Structure: relaxed

Results
D(E_F): 0.76 states/eV/cell
SG: F-43m (216)

a = 5.737 Å, b = 5.737 Å, c = 5.737 Å
α = 60.00°, β = 60.00°, γ = 60.00°
Sites, in units of the cell vectors:
1 Se 0.500 0.500 0.500
2 Ba 0.750 0.750 0.750
3 Ca 0.000 0.000 0.000

=====

Q | Compound: BaCaSe
Source: the Alexandria database
Functional: GGA-PBE
Structure: relaxed

Results
D(E_F): 5.37 states/eV/cell
SG: R-3m (166)

a = 4.733 Å, b = 4.733 Å, c = 12.614 Å
α = 79.19°, β = 79.19°, γ = 60.00°
Each line ends with the local moment (μB).
Sites, in units of the cell vectors:
1 Ba 0.886 0.886 0.341  0.11
2 Ba 0.114 0.114 0.659  0.11
3 Se 0.280 0.280 0.161  0.00
4 Se 0.720 0.720 0.839  0.00
5 Ca 0.636 0.636 0.091  0.01
6 Ca 0.364 0.364 0.909  0.01

=====

Short version: Q is the most stable of them.

=====

P | Compound: BaCaSe
Source: the Alexandria database
Functional: GGA-PBE
Structure: relaxed

Results
D(E_F): 2.13 states/eV/cell
SG: P3m1 (156)

a = 4.342 Å, b = 4.342 Å, c = 7.437 Å
α = 90.00°, β = 90.00°, γ = 120.00°
Sites, in units of the cell vectors:
1 Ca 0.667 0.333 0.429
2 Ba 0.000 0.000 0.930
3 Se 0.333 0.667 0.641

=====

Q | Compound: BaCaSe
Source: the Alexandria database
Functional: GGA-PBE
Structure: relaxed

Results
D(E_F): 1.19 states/eV/cell
SG: I4mm (107)

a = 7.625 Å, b = 7.624 Å, c = 3.889 Å
α = 75.24°, β = 75.22°, γ = 29.55°
Sites, in units of the cell vectors:
1 Ca 0.288 0.288 0.712
2 Ba 0.031 0.031 0.969
3 Se 0.681 0.681 0.319

=====

R | Compound: BaCaSe
Source: the Alexandria database
Functional: GGA-PBE
Structure: relaxed

Results
D(E_F): 2.76 states/eV/cell
SG: F-43m (216)

a = 5.328 Å, b = 5.328 Å, c = 5.328 Å
α = 60.00°, β = 60.00°, γ = 60.00°
Sites, in units of the cell vectors:
1 Ba 0.000 0.000 0.000
2 Ca 0.500 0.500 0.500
3 Se 0.750 0.750 0.750

=====

Short version: P is the most stable of them.

=====

P | Compound: BaCa2Si
Source: the Alexandria database
Functional: GGA-PBE
Structure: relaxed

Results
D(E_F): 2.14 states/eV/cell
SG: P4/mmm (123)

a = 5.156 Å, b = 5.043 Å, c = 5.043 Å
α = 90.00°, β = 90.00°, γ = 90.00°
Sites, in units of the cell vectors:
1 Si 0.500 0.500 0.000
2 Ba 0.500 0.000 0.500
3 Ca 0.000 0.500 0.500
4 Ca 0.000 0.000 0.000

=====

Q | Compound: BaCa2Si
Source: the Alexandria database
Functional: GGA-PBE
Structure: relaxed

Results
D(E_F): 4.27 states/eV/cell
SG: Immm (71)

a = 7.560 Å, b = 7.560 Å, c = 7.560 Å
α = 151.43°, β = 133.61°, γ = 55.39°
Sites, in units of the cell vectors:
1 Ca 0.927 0.927 0.000
2 Ca 0.573 0.573 0.000
3 Ba 0.250 0.750 0.500
4 Si 0.750 0.250 0.500

=====

R | Compound: BaCa2Si
Source: the Alexandria database
Functional: GGA-PBE
Structure: relaxed

Results
D(E_F): 3.60 states/eV/cell
SG: Imm2 (44)

a = 8.900 Å, b = 8.900 Å, c = 8.900 Å
α = 156.18°, β = 147.54°, γ = 40.66°
Sites, in units of the cell vectors:
1 Si 0.505 0.505 0.000
2 Ca 0.005 0.005 0.000
3 Ca 0.654 0.154 0.500
4 Ba 0.336 0.836 0.500

=====

Short version: Q is the most stable of them.

=====

P | Compound: BaCa2Si
Source: the Alexandria database
Functional: GGA-PBE
Structure: relaxed

Results
D(E_F): 1.68 states/eV/cell
SG: R-3m (166)

a = 9.039 Å, b = 9.039 Å, c = 9.039 Å
α = 30.49°, β = 30.49°, γ = 30.49°
Sites, in units of the cell vectors:
1 Ca 0.961 0.961 0.961
2 Ca 0.539 0.539 0.539
3 Si 0.250 0.250 0.250
4 Ba 0.750 0.750 0.750

=====

Q | Compound: BaCa2Si
Source: the Alexandria database
Functional: GGA-PBE
Structure: relaxed

Results
D(E_F): 2.96 states/eV/cell
SG: I-42d (122)

a = 9.737 Å, b = 9.737 Å, c = 7.689 Å
α = 50.72°, β = 50.72°, γ = 90.00°
Sites, in units of the cell vectors:
1 Si 0.500 0.500 0.000
2 Si 0.250 0.750 0.500
3 Ca 0.875 0.773 0.750
4 Ca 0.375 0.477 0.750
5 Ca 0.227 0.625 0.250
6 Ca 0.523 0.125 0.250
7 Ba 0.750 0.250 0.500
8 Ba 0.000 0.000 0.000

=====

Short version: P is the most stable of them.

=====

P | Compound: BaCa2Si
Source: the Alexandria database
Functional: GGA-PBE
Structure: relaxed

Results
D(E_F): 2.75 states/eV/cell
SG: P4mm (99)

a = 4.022 Å, b = 4.022 Å, c = 8.936 Å
α = 90.00°, β = 90.00°, γ = 90.00°
Sites, in units of the cell vectors:
1 Ba 0.500 0.500 0.684
2 Ca 0.000 0.000 0.047
3 Ca 0.500 0.500 0.317
4 Si 0.000 0.000 0.451

=====

Q | Compound: BaCa2Si
Source: the Alexandria database
Functional: GGA-PBE
Structure: relaxed

Results
D(E_F): 4.57 states/eV/cell
SG: P4/mmm (123)

a = 3.702 Å, b = 3.698 Å, c = 10.420 Å
α = 90.00°, β = 90.00°, γ = 90.00°
Sites, in units of the cell vectors:
1 Ca 0.000 0.000 0.416
2 Ca 0.000 0.000 0.084
3 Si 0.500 0.500 0.250
4 Ba 0.500 0.500 0.750

=====

R | Compound: BaCa2Si
Source: the Alexandria database
Functional: GGA-PBE
Structure: relaxed

Results
D(E_F): 1.84 states/eV/cell
SG: I-4m2 (119)

a = 6.077 Å, b = 6.077 Å, c = 6.077 Å
α = 129.75°, β = 129.75°, γ = 73.80°
Sites, in units of the cell vectors:
1 Si 0.500 0.500 0.000
2 Ba 0.750 0.250 0.500
3 Ca 0.000 0.000 0.000
4 Ca 0.250 0.750 0.500

=====

S | Compound: BaCa2Si
Source: the Alexandria database
Functional: GGA-PBE
Structure: relaxed

Results
D(E_F): 5.13 states/eV/cell
SG: C2/m (12)

a = 6.100 Å, b = 7.001 Å, c = 3.811 Å
α = 74.72°, β = 88.87°, γ = 115.49°
Sites, in units of the cell vectors:
1 Ca 0.000 0.000 0.000
2 Ca 0.500 0.000 0.500
3 Ba 0.500 0.500 0.000
4 Si 0.000 0.500 0.500

=====

Short version: Q is the most stable of them.

=====

P | Compound: BaCa2Si2
Source: the Alexandria database
Functional: GGA-PBE
Structure: relaxed

Results
D(E_F): 4.95 states/eV/cell
SG: I4/mmm (139)

a = 4.924 Å, b = 4.924 Å, c = 7.118 Å
α = 69.77°, β = 69.77°, γ = 90.00°
Each line ends with the local moment (μB).
Sites, in units of the cell vectors:
1 Ba 0.000 0.000 0.000  0.07
2 Ca 0.250 0.750 0.500  0.05
3 Ca 0.750 0.250 0.500  0.05
4 Si 0.403 0.403 0.195  0.01
5 Si 0.597 0.597 0.805  0.01

=====

Q | Compound: BaCa2Si2
Source: the Alexandria database
Functional: GGA-PBE
Structure: relaxed

Results
D(E_F): 3.98 states/eV/cell
SG: P4/mbm (127)

a = 8.986 Å, b = 8.986 Å, c = 3.349 Å
α = 90.00°, β = 90.00°, γ = 90.00°
Sites, in units of the cell vectors:
1 Si 0.173 0.673 0.500
2 Si 0.673 0.827 0.500
3 Si 0.827 0.327 0.500
4 Si 0.327 0.173 0.500
5 Ca 0.876 0.624 0.000
6 Ca 0.124 0.376 0.000
7 Ca 0.376 0.876 0.000
8 Ca 0.624 0.124 0.000
9 Ba 0.000 0.000 0.000
10 Ba 0.500 0.500 0.000

=====

R | Compound: BaCa2Si2
Source: the Alexandria database
Functional: GGA-PBE
Structure: relaxed

Results
D(E_F): 2.01 states/eV/cell
SG: P2_1/m (11)

a = 4.549 Å, b = 5.365 Å, c = 12.458 Å
α = 96.51°, β = 90.00°, γ = 90.00°
Sites, in units of the cell vectors:
1 Si 0.250 0.788 0.645
2 Si 0.750 0.212 0.355
3 Si 0.250 0.375 0.986
4 Si 0.750 0.625 0.014
5 Ca 0.750 0.154 0.116
6 Ca 0.250 0.846 0.884
7 Ca 0.250 0.252 0.506
8 Ca 0.750 0.748 0.494
9 Ba 0.750 0.321 0.755
10 Ba 0.250 0.679 0.245

=====

Short version: R is the most stable of them.